Li2TcRh after structural relaxation, computed with PBE-GGA.

Results
Volume in Å³ per cell: 211
ΔH_f (0 K) in eV per atom: 0.44
Energy in eV per atom: -4.951
Distance to the lowest polymorph of the same formula in meV/atom: 406
Total moment in μB per formula unit: 3.010

a = 5.950 Å, b = 5.950 Å, c = 5.950 Å
α = 90.00°, β = 90.00°, γ = 90.00°
Space group Fm-3m (No. 225)
One atom of each set of equivalent atoms:
Li (0.250, 0.250, 0.250)
Tc (0.000, 0.000, 0.000)
Rh (0.000, 0.000, 0.500)


LiTcRh2 after structural relaxation, computed with PBE-GGA.

Results
Volume in Å³ per cell: 106
ΔH_f (0 K) in eV per atom: 0.06
Energy in eV per atom: -6.682
Distance to the lowest polymorph of the same formula in meV/atom: 177
Total moment in μB per formula unit: 0.000

a = 2.836 Å, b = 4.460 Å, c = 8.387 Å
α = 90.00°, β = 90.00°, γ = 90.00°
Space group Immm (No. 71)
One atom of each set of equivalent atoms:
Li (0.000, 0.000, 0.000)
Tc (0.000, 0.000, 0.500)
Rh (0.000, 0.500, 0.266)